Material: AcLa2Pm2Nd2
Method: DFT, PBE
State: optimized geometry

SG ... C2/m
Calculated total energy ... -4.69 eV per atom

Unit cell a=5.292 b=6.489 c=8.330 alpha=97.33 beta=90.00 gamma=114.06
Fractional coordinates of all 7 atoms:
Pm 0.142 0.285 0.431
Ac 0.000 0.000 0.000
Nd 0.574 0.148 0.707
Pm 0.858 0.715 0.569
Nd 0.426 0.852 0.293
La 0.285 0.571 0.852
La 0.715 0.429 0.148